(1)
VASP calculation (PBE) on a relaxed structure of AcTb2ThAs4.

Structure (POSCAR):
```
AcTb2ThAs4
1.0
7.3584 0.0000 0.0000
0.0000 4.2709 0.0000
-2.4701 0.0000 6.9943
Ac Tb Th As
1 2 1 4
direct
0.0000 0.0000 0.0000 Ac
0.5000 0.0000 0.5000 Tb
0.5000 0.5000 0.0000 Tb
0.0000 0.5000 0.5000 Th
0.2601 0.0000 0.7451 As
0.2655 0.5000 0.2645 As
0.7345 0.5000 0.7355 As
0.7399 0.0000 0.2549 As
```

Computed properties:
ΔE_f: -1.478 eV/atom
space-group type: P2/m (10)

(2)
VASP calculation (PBE) on a relaxed structure of Cd2C.

Structure (POSCAR):
```
Cd2C
1.0
-1.5172 1.5172 11.1650
1.5172 -1.5172 11.1650
1.5172 1.5172 -11.1650
Cd C
4 2
direct
0.3086 0.5586 0.7500 Cd
0.4414 0.6914 0.7500 Cd
0.5586 0.3086 0.2500 Cd
0.6914 0.4414 0.2500 Cd
0.1250 0.8750 0.2500 C
0.8750 0.1250 0.7500 C
```

Computed properties:
ΔE_f: 1.394 eV/atom
space-group type: I4_1/amd (141)

(3)
VASP calculation (PBE) on a relaxed structure of FeTcMo2H.

Structure (POSCAR):
```
FeTcMo2H
1.0
3.9444 0.0000 0.0000
0.0000 3.9444 0.0000
0.0000 0.0000 3.8796
Fe Tc Mo H
1 1 2 1
direct
0.0000 0.0000 0.0000 Fe
0.5000 0.5000 0.0000 Tc
0.0000 0.5000 0.5000 Mo
0.5000 0.0000 0.5000 Mo
0.5000 0.5000 0.5000 H
```

Computed properties:
space-group type: P4/mmm (123)
E_tot: -8.630 eV per atom

(4)
VASP calculation (PBE) on a relaxed structure of PrB2Pd7.

Structure (POSCAR):
```
PrB2Pd7
1.0
3.4839 -5.7491 0.0000
3.4839 5.7491 0.0000
0.0000 0.0000 4.1886
Pr B Pd
1 2 7
direct
0.0000 0.0000 0.0000 Pr
0.3107 0.6893 0.5000 B
0.6893 0.3107 0.5000 B
0.0552 0.3369 0.5000 Pd
0.2747 0.7253 0.0000 Pd
0.3369 0.0552 0.5000 Pd
0.5000 0.5000 0.5000 Pd
0.6631 0.9448 0.5000 Pd
0.7253 0.2747 0.0000 Pd
0.9448 0.6631 0.5000 Pd
```

Computed properties:
ΔE_f: -0.236 eV/atom
space-group type: Cmmm (65)

(5)
VASP calculation (PBE) on a relaxed structure of ScFeCu.

Structure (POSCAR):
```
ScFeCu
1.0
-1.5807 1.5886 4.5549
1.5807 -1.5886 4.5549
1.5807 1.5886 -4.5549
Sc Fe Cu
1 1 1
direct
0.0000 0.0000 0.0000 Sc
0.3214 0.3214 0.0000 Fe
0.6869 0.6869 0.0000 Cu
```

Computed properties:
ΔE_f: 0.012 eV/atom
space-group type: Imm2 (44)

(6)
VASP calculation (PBE) on a relaxed structure of Sc2MnTc2.

Structure (POSCAR):
```
Sc2MnTc2
1.0
6.2223 0.0000 0.0000
0.0000 6.2223 0.0000
0.0000 0.0000 4.4553
Sc Mn Tc
4 2 4
direct
0.1747 0.3253 0.0000 Sc
0.3253 0.8253 0.0000 Sc
0.6747 0.1747 0.0000 Sc
0.8253 0.6747 0.0000 Sc
0.0000 0.0000 0.5000 Mn
0.5000 0.5000 0.5000 Mn
0.1441 0.6441 0.5000 Tc
0.3559 0.1441 0.5000 Tc
0.6441 0.8559 0.5000 Tc
0.8559 0.3559 0.5000 Tc
```

Computed properties:
ΔE_f: -0.006 eV/atom
space-group type: P4/mbm (127)